# 1
{"formula": "KLi2IrRh", "functional": "PBE-GGA", "state": "optimized geometry", "cell": [[-2.243, 4.173, 0.246], [-4.872, -2.530, -1.517], [-1.002, -0.808, 4.566]], "species": ["K", "Li", "Rh", "Ir", "Li"], "frac_coords": [[0.000, 0.500, 0.000], [0.000, 0.000, 0.500], [0.500, 0.500, 0.500], [0.000, 0.000, 0.000], [0.500, 0.000, 0.000]], "energy_ev_per_atom": -3.0098, "delta_e_f_ev_per_fu": 6.1}



# 2
{"formula": "TbGa2Pt8", "functional": "PBE-GGA", "state": "optimized geometry", "cell": [[4.563, -0.226, -0.339], [-1.099, 6.893, -0.266], [-1.099, -2.901, 6.259]], "species": ["Pt", "Pt", "Pt", "Pt", "Pt", "Pt", "Pt", "Pt", "Ga", "Ga", "Tb"], "frac_coords": [[0.880, 0.679, 0.921], [0.500, 0.763, 0.237], [0.687, 0.404, 0.404], [0.500, 0.237, 0.763], [0.120, 0.321, 0.079], [0.120, 0.079, 0.321], [0.313, 0.596, 0.596], [0.880, 0.921, 0.679], [0.000, 0.315, 0.685], [0.000, 0.685, 0.315], [0.500, 0.000, 0.000]], "energy_ev_per_atom": -5.8545, "delta_e_f_ev_per_fu": -5.4}



# 3
{"formula": "Tc2OsPb", "functional": "PBE-GGA", "state": "optimized geometry", "cell": [[-2.150, 4.329, 1.502], [-3.689, -0.675, 3.399], [4.780, -1.618, -0.390]], "species": ["Os", "Tc", "Pb", "Tc"], "frac_coords": [[0.500, 0.500, 0.000], [0.000, 0.000, 0.000], [0.750, 0.250, 0.500], [0.250, 0.750, 0.500]], "energy_ev_per_atom": -8.2059, "delta_e_f_ev_per_fu": 2.8}



# 4
{"formula": "Ca3Al2N4", "functional": "PBE-GGA", "state": "optimized geometry", "cell": [[6.740, -0.002, 0.002], [1.630, 6.540, 0.002], [0.159, 0.125, 5.531]], "species": ["Ca", "Al", "Al", "Ca", "Al", "Ca", "N", "N", "N", "N", "N", "N", "N", "Al", "Ca", "Ca", "Ca", "N"], "frac_coords": [[0.601, 0.399, 0.250], [0.176, 0.414, 0.412], [0.824, 0.586, 0.588], [0.399, 0.601, 0.750], [0.586, 0.824, 0.088], [0.254, 0.978, 0.452], [0.263, 0.410, 0.081], [0.590, 0.737, 0.419], [0.697, 0.059, 0.018], [0.410, 0.263, 0.581], [0.737, 0.590, 0.919], [0.303, 0.941, 0.982], [0.059, 0.697, 0.518], [0.414, 0.176, 0.912], [0.746, 0.022, 0.548], [0.022, 0.746, 0.048], [0.978, 0.254, 0.952], [0.941, 0.303, 0.482]], "energy_ev_per_atom": -6.3260, "e_form_raw_ev_per_fu": -10.1}



# 5
{"formula": "ZrIn2I5", "functional": "PBE-GGA", "state": "optimized geometry", "cell": [[-6.643, -1.277, -4.875], [-1.505, -7.192, 3.938], [0.343, 7.353, 4.737]], "species": ["In", "I", "I", "I", "Zr", "In", "I", "I"], "frac_coords": [[0.173, 0.674, 0.347], [0.772, 0.772, 0.542], [0.280, 0.808, 0.088], [0.808, 0.808, 0.087], [0.983, 0.983, 0.966], [0.674, 0.173, 0.347], [0.280, 0.280, 0.089], [0.808, 0.280, 0.088]], "energy_ev_per_atom": -3.3018, "e_form_raw_ev_per_fu": -4.6}



# 6
{"formula": "Li2CuSbF6", "functional": "PBE-GGA", "state": "optimized geometry", "cell": [[0.000, 4.325, 4.325], [4.325, 0.000, 4.325], [4.325, 4.325, 0.000]], "species": ["F", "F", "Li", "F", "Li", "F", "F", "F", "Sb", "Cu"], "frac_coords": [[0.747, 0.253, 0.253], [0.747, 0.253, 0.747], [0.750, 0.750, 0.750], [0.747, 0.747, 0.253], [0.250, 0.250, 0.250], [0.253, 0.747, 0.253], [0.253, 0.747, 0.747], [0.253, 0.253, 0.747], [0.000, 0.000, 0.000], [0.500, 0.500, 0.500]], "energy_ev_per_atom": -4.2493, "e_form_raw_ev_per_fu": -19.2}



# 7
{"formula": "KZrSe4", "functional": "PBE-GGA", "state": "optimized geometry", "cell": [[-0.360, -5.581, 1.859], [-3.632, -3.776, -2.698], [2.202, -4.355, -3.304]], "species": ["K", "Se", "Se", "Zr", "Se", "Se"], "frac_coords": [[0.000, 0.000, 0.000], [0.872, 0.376, 0.376], [0.376, 0.872, 0.376], [0.750, 0.750, 0.750], [0.376, 0.376, 0.872], [0.376, 0.376, 0.376]], "energy_ev_per_atom": -3.7226, "e_form_raw_ev_per_fu": 1.2}



# 8
{"formula": "CaCrP2", "functional": "PBE-GGA", "state": "optimized geometry", "cell": [[0.000, 3.272, 3.272], [3.272, 0.000, 3.272], [3.272, 3.272, 0.000]], "species": ["P", "Ca", "Cr", "P"], "frac_coords": [[0.750, 0.750, 0.750], [0.000, 0.000, 0.000], [0.500, 0.500, 0.500], [0.250, 0.250, 0.250]], "energy_ev_per_atom": -5.7943, "delta_e_f_ev_per_fu": -0.7}



# 9
{"formula": "Sr2CaPt9", "functional": "PBE-GGA", "state": "optimized geometry", "cell": [[-5.351, -0.931, 0.819], [-1.606, -3.649, 3.778], [-2.500, 4.941, 7.703]], "species": ["Pt", "Pt", "Pt", "Sr", "Pt", "Sr", "Pt", "Pt", "Pt", "Pt", "Ca", "Pt"], "frac_coords": [[0.583, 0.583, 0.753], [0.417, 0.417, 0.247], [0.668, 0.668, 0.997], [0.860, 0.860, 0.421], [0.080, 0.583, 0.753], [0.140, 0.140, 0.579], [0.920, 0.417, 0.247], [0.417, 0.920, 0.247], [0.500, 0.500, 0.500], [0.332, 0.332, 0.003], [0.000, 0.000, 0.000], [0.583, 0.080, 0.753]], "energy_ev_per_atom": -5.6849, "delta_e_f_ev_per_fu": -8.5}



# 10
{"formula": "CrAsPd2", "functional": "PBE-GGA", "state": "optimized geometry", "cell": [[3.806, 0.000, 0.000], [0.000, 3.806, 0.000], [1.903, 1.903, 9.070]], "species": ["Pd", "As", "Pd", "Pd", "Pd", "As", "Cr", "Cr"], "frac_coords": [[0.875, 0.878, 0.750], [0.750, 0.250, 0.500], [0.375, 0.372, 0.750], [0.122, 0.625, 0.250], [0.628, 0.125, 0.250], [0.000, 0.000, 0.000], [0.500, 0.500, 0.000], [0.250, 0.750, 0.500]], "energy_ev_per_atom": -6.1385, "delta_e_f_ev_per_fu": 0.1}



# 11
{"formula": "KNb2W", "functional": "PBE-GGA", "state": "optimized geometry", "cell": [[0.000, 3.403, 3.403], [3.403, 0.000, 3.403], [3.403, 3.403, 0.000]], "species": ["Nb", "Nb", "W", "K"], "frac_coords": [[0.750, 0.750, 0.750], [0.250, 0.250, 0.250], [0.500, 0.500, 0.500], [0.000, 0.000, 0.000]], "energy_ev_per_atom": -7.2055, "delta_e_f_ev_per_fu": 5.4}



# 12
{"formula": "CrCd3Re", "functional": "PBE-GGA", "state": "optimized geometry", "cell": [[-2.915, -0.796, 4.108], [0.737, -5.026, -0.451], [4.119, 0.336, 2.988]], "species": ["Cr", "Cd", "Re", "Cd", "Cd"], "frac_coords": [[0.000, 0.000, 0.000], [0.500, 0.000, 0.000], [0.500, 0.500, 0.500], [0.000, 0.000, 0.500], [0.000, 0.500, 0.000]], "energy_ev_per_atom": -3.2311, "delta_e_f_ev_per_fu": 8.7}



Question: What is the formula in the ninth record?
Answer: Sr2CaPt9



Question: Number 11 is which compound?
Answer: KNb2W